Pr2CrN4 | PBE | optimized geometry

Cell lengths 5.6909, 5.5069, 7.1055 Å; angles 90.00, 108.11, 90.00 degrees
Fractional coordinates of all 14 atoms:
1 Pr 0.2107 0.2500 0.0337
2 Pr 0.2772 0.2500 0.5604
3 Pr 0.7228 0.7500 0.4396
4 Pr 0.7893 0.7500 0.9663
5 Cr 0.2306 0.7500 0.7929
6 Cr 0.7694 0.2500 0.2071
7 N 0.0304 0.5043 0.7334
8 N 0.0304 0.9957 0.7334
9 N 0.3872 0.7500 0.0451
10 N 0.4366 0.7500 0.6536
11 N 0.5634 0.2500 0.3464
12 N 0.6128 0.2500 0.9549
13 N 0.9696 0.0043 0.2666
14 N 0.9696 0.4957 0.2666

* energy relative to the elements, uncorrected: -1.029 eV/atom
* calculated volume: 15.12 Å³/atom
* symmetry: P2_1/m (11)
* size of the total moment: 0.00 μB per atom
* energy relative to the lowest polymorph listed for this composition: 0.30 eV/f.u.